Below is a geometry-optimized HfBRu3 structure, with properties calculated at the PBE-GGA level.

a = 12.7446 Å, b = 7.9276 Å, c = 5.8239 Å
α = 90.00°, β = 106.26°, γ = 90.00°
Space group C2/c (No. 15)
One atom of each set of equivalent atoms:
Hf 0.0000 0.1137 0.2500 (multiplicity 4)
Hf 0.0000 0.2864 0.7500 (multiplicity 4)
B 0.0430 0.4127 0.1431 (multiplicity 8)
Ru 0.1414 0.4148 0.5020 (multiplicity 8)
Ru 0.1654 0.0755 0.6762 (multiplicity 8)
Ru 0.1806 0.2325 0.1147 (multiplicity 8)

---

Below is a geometry-optimized HfBRu3 structure, with properties calculated at the PBE-GGA level.

a = 4.8145 Å, b = 5.3640 Å, c = 5.3787 Å
α = 81.67°, β = 87.47°, γ = 89.95°
Space group P-1 (No. 2)
One atom of each set of equivalent atoms:
Hf 0.1213 0.3518 0.2780 (multiplicity 2)
B 0.3700 0.4744 0.7007 (multiplicity 2)
Ru 0.1085 0.1456 0.7933 (multiplicity 2)
Ru 0.3639 0.8247 0.4322 (multiplicity 2)
Ru 0.4028 0.7617 0.9640 (multiplicity 2)

---

Below is a geometry-optimized HfBRu3 structure, with properties calculated at the PBE-GGA level.

a = 7.1296 Å, b = 5.3595 Å, c = 9.5457 Å
α = 90.00°, β = 129.88°, γ = 90.00°
Space group P2_1/c (No. 14)
One atom of each set of equivalent atoms:
Hf 0.1427 0.2394 0.0867 (multiplicity 4)
B 0.2499 0.5824 0.4659 (multiplicity 4)
Ru 0.0798 0.5953 0.7790 (multiplicity 4)
Ru 0.3483 0.6821 0.1844 (multiplicity 4)
Ru 0.4315 0.2492 0.9677 (multiplicity 4)

---

Below is a geometry-optimized HfBRu3 structure, with properties calculated at the PBE-GGA level.

a = 4.9097 Å, b = 5.4443 Å, c = 5.7674 Å
α = 72.82°, β = 72.01°, γ = 77.70°
Space group P1 (No. 1)
One atom of each set of equivalent atoms:
Hf 0.0000 0.0000 0.0000 (multiplicity 1)
Hf 0.0647 0.5000 0.5503 (multiplicity 1)
B 0.6600 0.4409 0.4152 (multiplicity 1)
B 0.7708 0.7969 0.8066 (multiplicity 1)
Ru 0.0319 0.4835 0.0560 (multiplicity 1)
Ru 0.4656 0.7569 0.6458 (multiplicity 1)
Ru 0.4670 0.7501 0.1610 (multiplicity 1)
Ru 0.4932 0.2080 0.2685 (multiplicity 1)
Ru 0.5125 0.2086 0.7905 (multiplicity 1)
Ru 0.9926 0.0428 0.4573 (multiplicity 1)

---

Below is a geometry-optimized HfBRu3 structure, with properties calculated at the PBE-GGA level.

a = 7.3763 Å, b = 7.3763 Å, c = 8.9642 Å
α = 90.00°, β = 90.00°, γ = 120.00°
Space group R-3c (No. 167, hexagonal axes)
One atom of each set of equivalent atoms:
Hf 0.0000 0.0000 0.0000 (multiplicity 6)
B 0.0000 0.0000 0.2500 (multiplicity 6)
Ru 0.0000 0.2858 0.2500 (multiplicity 18)

---

Below is a geometry-optimized HfBRu3 structure, with properties calculated at the PBE-GGA level.

a = 5.0494 Å, b = 5.0494 Å, c = 20.6721 Å
α = 90.00°, β = 90.00°, γ = 120.00°
Space group R-3 (No. 148, hexagonal axes)
One atom of each set of equivalent atoms:
Hf 0.0000 0.0000 0.1715 (multiplicity 6)
B 0.0000 0.0000 0.3346 (multiplicity 6)
Ru 0.0103 0.6554 0.6060 (multiplicity 18)

---

Number 1: formation energy -0.190 eV/atom, theoretical density 11.58 Mg/m³, total DFT energy (no corrections) -9.08 eV/atom. Number 2: formation energy -0.389 eV/atom, theoretical density 11.91 Mg/m³, total DFT energy (no corrections) -9.28 eV/atom. Number 3: formation energy -0.245 eV/atom, theoretical density 11.69 Mg/m³, total DFT energy (no corrections) -9.14 eV/atom. Number 4: formation energy -0.334 eV/atom, theoretical density 11.78 Mg/m³, total DFT energy (no corrections) -9.23 eV/atom. Number 5: formation energy 0.029 eV/atom, theoretical density 11.62 Mg/m³, total DFT energy (no corrections) -8.86 eV/atom. Number 6: formation energy 0.065 eV/atom, theoretical density 10.75 Mg/m³, total DFT energy (no corrections) -8.83 eV/atom.